Entry 1:
A geometry-optimized LiTl3Mo structure, computed with PBE.

Calculated values
final energy = -15.36 eV for the cell shown
energy relative to the elements = 4.49 eV per formula unit
crystal system = cubic
energy above the most stable polymorph in this dataset = 8.91 kcal/mol of atoms

a = 5.0446 Å, b = 5.0446 Å, c = 5.0446 Å
α = 90.00°, β = 90.00°, γ = 90.00°
Fractional coordinates of all 5 atoms:
1 Li 0.0000 0.0000 0.0000
2 Tl 0.0000 0.0000 0.5000
3 Tl 0.0000 0.5000 0.0000
4 Tl 0.5000 0.0000 0.0000
5 Mo 0.5000 0.5000 0.5000



Entry 2:
A geometry-optimized Hf4ThSc8 structure, computed with PBE.

Calculated values
final energy = -95.53 eV for the cell shown
energy relative to the elements = 2.35 eV per formula unit
crystal system = triclinic

a = 5.8278 Å, b = 5.8439 Å, c = 11.1282 Å
α = 85.35°, β = 80.92°, γ = 60.12°
Fractional coordinates of all 13 atoms:
1 Hf 0.0000 0.0000 0.0000
2 Hf 0.0000 0.5000 0.0000
3 Hf 0.5000 0.0000 0.0000
4 Hf 0.5000 0.5000 0.0000
5 Th 0.0000 0.0000 0.5000
6 Sc 0.0857 0.6663 0.2521
7 Sc 0.2487 0.6649 0.7479
8 Sc 0.3321 0.3360 0.4999
9 Sc 0.4088 0.0008 0.2660
10 Sc 0.5912 0.9992 0.7340
11 Sc 0.6679 0.6640 0.5001
12 Sc 0.7513 0.3351 0.2521
13 Sc 0.9143 0.3337 0.7479



Entry 3:
A geometry-optimized MgCdPt4 structure, computed with PBE.

Calculated values
final energy = -28.86 eV for the cell shown
energy relative to the elements = -2.19 eV per formula unit
crystal system = monoclinic

a = 4.9734 Å, b = 4.9734 Å, c = 8.0361 Å
α = 113.74°, β = 113.74°, γ = 33.16°
Fractional coordinates of all 6 atoms:
1 Mg 0.0000 0.0000 0.0000
2 Cd 0.0000 0.0000 0.5000
3 Pt 0.3352 0.3352 0.1609
4 Pt 0.3358 0.3358 0.6776
5 Pt 0.6642 0.6642 0.3224
6 Pt 0.6648 0.6648 0.8391



Entry 4:
A geometry-optimized BiRuO4 structure, computed with PBE.

Calculated values
final energy = -77.66 eV for the cell shown
crystal system = monoclinic

a = 5.8619 Å, b = 4.9623 Å, c = 5.6887 Å
α = 90.00°, β = 107.83°, γ = 90.00°
Fractional coordinates of all 12 atoms:
1 Bi 0.0000 0.0000 0.0000
2 Bi 0.0000 0.5000 0.5000
3 Ru 0.5000 0.0000 0.5000
4 Ru 0.5000 0.5000 0.0000
5 O 0.1700 0.1308 0.3954
6 O 0.1700 0.3692 0.8954
7 O 0.3899 0.7054 0.6791
8 O 0.3899 0.7946 0.1791
9 O 0.6101 0.2054 0.8209
10 O 0.6101 0.2946 0.3209
11 O 0.8300 0.6308 0.1046
12 O 0.8300 0.8692 0.6046



Entry 5:
A geometry-optimized Sb2CI structure, computed with PBE.

Calculated values
final energy = -12.07 eV for the cell shown
crystal system = cubic
energy above the most stable polymorph in this dataset = 19.51 kcal/mol of atoms

a = 5.0974 Å, b = 5.0974 Å, c = 5.0974 Å
α = 60.00°, β = 60.00°, γ = 60.00°
Fractional coordinates of all 4 atoms:
1 Sb 0.2500 0.2500 0.2500
2 Sb 0.7500 0.7500 0.7500
3 C 0.0000 0.0000 0.0000
4 I 0.5000 0.5000 0.5000



Entry 6:
A geometry-optimized CoOsSe2 structure, computed with PBE.

Calculated values
final energy = -25.52 eV for the cell shown
crystal system = tetragonal
energy above the most stable polymorph in this dataset = 0.00 kcal/mol of atoms

a = 3.8101 Å, b = 3.8101 Å, c = 5.8806 Å
α = 90.00°, β = 90.00°, γ = 90.00°
Fractional coordinates of all 4 atoms:
1 Co 0.0000 0.0000 0.0000
2 Os 0.5000 0.5000 0.0000
3 Se 0.0000 0.5000 0.2471
4 Se 0.5000 0.0000 0.7529